#one
# PmBe2Si2 | the Alexandria database | GGA-PBE | optimized geometry
# Magnetic moment: 0.00 μB/f.u.
# Density of states at the Fermi level: 4.1 states/eV/cell
data_PmBe2Si2
_chemical_formula_sum 'Pm2 Be4 Si4'
_space_group_name_H-M_alt 'P -1'
_space_group_IT_number 2
_space_group_name_Hall '-P 1'
_cell_length_a 5.5581
_cell_length_b 5.5950
_cell_length_c 6.2612
_cell_angle_alpha 63.74
_cell_angle_beta 78.63
_cell_angle_gamma 63.34
loop_
_atom_site_label
_atom_site_type_symbol
_atom_site_fract_x
_atom_site_fract_y
_atom_site_fract_z
Pm1 Pm 0.2501 0.1181 0.2615
Be1 Be 0.2489 0.7320 0.0360
Be2 Be 0.2500 0.5333 0.4331
Si1 Si 0.1488 0.2008 0.7595
Si2 Si 0.3523 0.5382 0.7602



#two
# PmBe2Si2 | the Alexandria database | GGA-PBE | optimized geometry
# Magnetic moment: 0.00 μB/f.u.
# Density of states at the Fermi level: 2.8 states/eV/cell
data_PmBe2Si2
_chemical_formula_sum 'Pm2 Be4 Si4'
_space_group_name_H-M_alt 'P 4/n m m'
_space_group_IT_number 129
_cell_length_a 3.9762
_cell_length_b 3.9762
_cell_length_c 9.5672
_cell_angle_alpha 90.00
_cell_angle_beta 90.00
_cell_angle_gamma 90.00
loop_
_space_group_symop_operation_xyz
'x,y,z'
'-x,-y,-z'
'-y+1/2,x,z'
'y+1/2,-x,-z'
'-x+1/2,-y+1/2,z'
'x+1/2,y+1/2,-z'
'y,-x+1/2,z'
'-y,x+1/2,-z'
'x+1/2,-y,-z'
'-x+1/2,y,z'
'-y,-x,-z'
'y,x,z'
'-x,y+1/2,-z'
'x,-y+1/2,z'
'y+1/2,x+1/2,-z'
'-y+1/2,-x+1/2,z'
loop_
_atom_site_label
_atom_site_type_symbol
_atom_site_fract_x
_atom_site_fract_y
_atom_site_fract_z
Pm1 Pm 0.2500 0.2500 0.2492
Be1 Be 0.2500 0.2500 0.8720
Be2 Be 0.2500 0.7500 0.5000
Si1 Si 0.2500 0.2500 0.6304
Si2 Si 0.2500 0.7500 0.0000



It is #one that is the least stable of them.



#one
# Pm3Be2Si4 | the Alexandria database | GGA-PBE | optimized geometry
# Magnetic moment: 0.00 μB/f.u.
# Density of states at the Fermi level: 6.9 states/eV/cell
data_Pm3Be2Si4
_chemical_formula_sum 'Pm6 Be4 Si8'
_space_group_name_H-M_alt 'C 1 2/m 1'
_space_group_IT_number 12
_space_group_name_Hall '-C 2y'
_cell_length_a 10.8829
_cell_length_b 3.9439
_cell_length_c 8.0181
_cell_angle_alpha 90.00
_cell_angle_beta 97.11
_cell_angle_gamma 90.00
loop_
_atom_site_label
_atom_site_type_symbol
_atom_site_fract_x
_atom_site_fract_y
_atom_site_fract_z
Pm1 Pm 0.0000 0.0000 0.0000
Pm2 Pm 0.1650 0.5000 0.6666
Be1 Be 0.1093 0.5000 0.2813
Si1 Si 0.0606 0.0000 0.3843
Si2 Si 0.2159 0.5000 0.0640



#two
# Pm3Be2Si4 | the Alexandria database | GGA-PBE | optimized geometry
# Magnetic moment: 0.00 μB/f.u.
# Density of states at the Fermi level: 7.2 states/eV/cell
data_Pm3Be2Si4
_chemical_formula_sum 'Pm6 Be4 Si8'
_space_group_name_H-M_alt 'C 1 2/m 1'
_space_group_IT_number 12
_space_group_name_Hall '-C 2y'
_cell_length_a 10.8982
_cell_length_b 3.9890
_cell_length_c 8.3135
_cell_angle_alpha 90.00
_cell_angle_beta 109.55
_cell_angle_gamma 90.00
loop_
_atom_site_label
_atom_site_type_symbol
_atom_site_fract_x
_atom_site_fract_y
_atom_site_fract_z
Pm1 Pm 0.0000 0.0000 0.0000
Pm2 Pm 0.1166 0.5000 0.6854
Be1 Be 0.1798 0.5000 0.3210
Si1 Si 0.1211 0.0000 0.4017
Si2 Si 0.2231 0.5000 0.0632



It is #two that is the least stable of them.



#one
# Pm2BeSi3 | the Alexandria database | GGA-PBE | optimized geometry
# Magnetic moment: 0.00 μB/f.u.
# Density of states at the Fermi level: 8.6 states/eV/cell
data_Pm2BeSi3
_chemical_formula_sum 'Pm16 Be8 Si24'
_space_group_name_H-M_alt 'F m m m'
_space_group_IT_number 69
_space_group_name_Hall '-F 2 2'
_cell_length_a 7.9415
_cell_length_b 8.3912
_cell_length_c 13.7451
_cell_angle_alpha 90.00
_cell_angle_beta 90.00
_cell_angle_gamma 90.00
loop_
_atom_site_label
_atom_site_type_symbol
_atom_site_fract_x
_atom_site_fract_y
_atom_site_fract_z
Pm1 Pm 0.0000 0.2457 0.0000
Pm2 Pm 0.2500 0.2500 0.2500
Be1 Be 0.0000 0.0000 0.3336
Si1 Si 0.0000 0.0000 0.1723
Si2 Si 0.2392 0.0000 0.4141



#two
# Pm2BeSi3 | the Alexandria database | GGA-PBE | optimized geometry
# Magnetic moment: 0.00 μB/f.u.
# Density of states at the Fermi level: 1.5 states/eV/cell
data_Pm2BeSi3
_chemical_formula_sum 'Pm2 Be1 Si3'
_space_group_name_H-M_alt 'P m m 2'
_space_group_IT_number 25
_space_group_name_Hall 'P 2 -2'
_cell_length_a 3.9858
_cell_length_b 4.2256
_cell_length_c 6.8313
_cell_angle_alpha 90.00
_cell_angle_beta 90.00
_cell_angle_gamma 90.00
loop_
_atom_site_label
_atom_site_type_symbol
_atom_site_fract_x
_atom_site_fract_y
_atom_site_fract_z
Pm1 Pm 0.0000 0.0000 0.0000
Pm2 Pm 0.5000 0.0000 0.4994
Be1 Be 0.0000 0.5000 0.6729
Si1 Si 0.0000 0.5000 0.3481
Si2 Si 0.5000 0.5000 0.1639
Si3 Si 0.5000 0.5000 0.8192



It is #two that is the least stable of them.



#one
# PmSm2Be | the Alexandria database | GGA-PBE | optimized geometry
# Magnetic moment: 0.00 μB/f.u.
# Density of states at the Fermi level: 4.4 states/eV/cell
data_PmSm2Be
_chemical_formula_sum 'Pm1 Sm2 Be1'
_space_group_name_H-M_alt 'P 4/m m m'
_space_group_IT_number 123
_space_group_name_Hall '-P 4 2'
_cell_length_a 3.5497
_cell_length_b 3.5497
_cell_length_c 8.7358
_cell_angle_alpha 90.00
_cell_angle_beta 90.00
_cell_angle_gamma 90.00
loop_
_atom_site_label
_atom_site_type_symbol
_atom_site_fract_x
_atom_site_fract_y
_atom_site_fract_z
Pm1 Pm 0.0000 0.0000 0.0000
Sm1 Sm 0.5000 0.5000 0.3077
Be1 Be 0.0000 0.0000 0.5000



#two
# PmSm2Be | the Alexandria database | GGA-PBE | optimized geometry
# Magnetic moment: 0.00 μB/f.u.
# Density of states at the Fermi level: 15.5 states/eV/cell
data_PmSm2Be
_chemical_formula_sum 'Pm3 Sm6 Be3'
_space_group_name_H-M_alt 'R -3 m'
_space_group_IT_number 166
_space_group_name_Hall '-R 3 2"'
_cell_length_a 3.5024
_cell_length_b 3.5024
_cell_length_c 34.9443
_cell_angle_alpha 90.00
_cell_angle_beta 90.00
_cell_angle_gamma 120.00
loop_
_atom_site_label
_atom_site_type_symbol
_atom_site_fract_x
_atom_site_fract_y
_atom_site_fract_z
Pm1 Pm 0.0000 0.0000 0.0000
Sm1 Sm 0.0000 0.0000 0.4164
Be1 Be 0.0000 0.0000 0.5000



It is #two that is the least stable of them.



#one
# Pm2BeSn | the Alexandria database | GGA-PBE | optimized geometry
# Magnetic moment: 0.00 μB/f.u.
# Density of states at the Fermi level: 1.7 states/eV/cell
data_Pm2BeSn
_chemical_formula_sum 'Pm2 Be1 Sn1'
_space_group_name_H-M_alt 'P 4/m m m'
_space_group_IT_number 123
_space_group_name_Hall '-P 4 2'
_cell_length_a 3.6195
_cell_length_b 3.6195
_cell_length_c 7.6126
_cell_angle_alpha 90.00
_cell_angle_beta 90.00
_cell_angle_gamma 90.00
loop_
_atom_site_label
_atom_site_type_symbol
_atom_site_fract_x
_atom_site_fract_y
_atom_site_fract_z
Pm1 Pm 0.0000 0.0000 0.2228
Be1 Be 0.5000 0.5000 0.0000
Sn1 Sn 0.5000 0.5000 0.5000



#two
# Pm2BeSn | the Alexandria database | GGA-PBE | optimized geometry
# Magnetic moment: 0.00 μB/f.u.
# Density of states at the Fermi level: 4.5 states/eV/cell
data_Pm2BeSn
_chemical_formula_sum 'Pm8 Be4 Sn4'
_space_group_name_H-M_alt 'F m -3 m'
_space_group_IT_number 225
_space_group_name_Hall '-F 4 2 3'
_cell_length_a 7.4058
_cell_length_b 7.4058
_cell_length_c 7.4058
_cell_angle_alpha 90.00
_cell_angle_beta 90.00
_cell_angle_gamma 90.00
loop_
_atom_site_label
_atom_site_type_symbol
_atom_site_fract_x
_atom_site_fract_y
_atom_site_fract_z
Pm1 Pm 0.2500 0.2500 0.2500
Be1 Be 0.0000 0.0000 0.0000
Sn1 Sn 0.0000 0.0000 0.5000



It is #two that is the least stable of them.



#one
# PmBeSn | the Alexandria database | GGA-PBE | optimized geometry
# Magnetic moment: 0.00 μB/f.u.
# Density of states at the Fermi level: 4.4 states/eV/cell
data_PmBeSn
_chemical_formula_sum 'Pm4 Be4 Sn4'
_space_group_name_H-M_alt 'F -4 3 m'
_space_group_IT_number 216
_space_group_name_Hall 'F -4 2 3'
_cell_length_a 6.4495
_cell_length_b 6.4495
_cell_length_c 6.4495
_cell_angle_alpha 90.00
_cell_angle_beta 90.00
_cell_angle_gamma 90.00
loop_
_atom_site_label
_atom_site_type_symbol
_atom_site_fract_x
_atom_site_fract_y
_atom_site_fract_z
Pm1 Pm 0.0000 0.0000 0.0000
Be1 Be 0.2500 0.2500 0.2500
Sn1 Sn 0.0000 0.0000 0.5000



#two
# PmBeSn | the Alexandria database | GGA-PBE | optimized geometry
# Magnetic moment: 0.00 μB/f.u.
# Density of states at the Fermi level: 1.4 states/eV/cell
data_PmBeSn
_chemical_formula_sum 'Pm1 Be1 Sn1'
_space_group_name_H-M_alt 'P -6 m 2'
_space_group_IT_number 187
_space_group_name_Hall 'P -6 2'
_cell_length_a 4.2371
_cell_length_b 4.2371
_cell_length_c 4.3313
_cell_angle_alpha 90.00
_cell_angle_beta 90.00
_cell_angle_gamma 120.00
loop_
_atom_site_label
_atom_site_type_symbol
_atom_site_fract_x
_atom_site_fract_y
_atom_site_fract_z
Pm1 Pm 0.0000 0.0000 0.0000
Be1 Be 0.3333 0.6667 0.5000
Sn1 Sn 0.6667 0.3333 0.5000



#three
# PmBeSn | the Alexandria database | GGA-PBE | optimized geometry
# Magnetic moment: 0.00 μB/f.u.
# Density of states at the Fermi level: 4.1 states/eV/cell
data_PmBeSn
_chemical_formula_sum 'Pm2 Be2 Sn2'
_space_group_name_H-M_alt 'I 4 m m'
_space_group_IT_number 107
_space_group_name_Hall 'I 4 -2'
_cell_length_a 4.2310
_cell_length_b 4.2310
_cell_length_c 8.3465
_cell_angle_alpha 90.00
_cell_angle_beta 90.00
_cell_angle_gamma 90.00
loop_
_atom_site_label
_atom_site_type_symbol
_atom_site_fract_x
_atom_site_fract_y
_atom_site_fract_z
Pm1 Pm 0.0000 0.0000 0.0000
Be1 Be 0.0000 0.0000 0.3489
Sn1 Sn 0.0000 0.0000 0.6424



It is #three that is the least stable of them.